[1]
## EuHoHgIr (PBE)

Data for EuHoHgIr after structural relaxation.

Computed properties:
total magnetic moment	6.91	μB per cell
electronic total energy	-6.46	eV per atom
symmetry	F-43m (216)
formation energy from the elements	-1.83	eV per formula unit

a = 5.0929 Å, b = 5.0929 Å, c = 5.0929 Å
α = 60.00°, β = 60.00°, γ = 60.00°
Fractional positions:
Eu (0.0000, 0.0000, 0.0000)
Ho (0.5000, 0.5000, 0.5000)
Hg (0.7500, 0.7500, 0.7500)
Ir (0.2500, 0.2500, 0.2500)

[2]
## Li3Tc (PBE)

Data for Li3Tc after structural relaxation.

Computed properties:
total magnetic moment	0.00	μB per cell
offset from the most stable computed form	41	kJ/mol of formula units
electronic total energy	-3.76	eV per atom
symmetry	Cmcm (63)
formation energy from the elements	1.06	eV per formula unit

a = 5.7259 Å, b = 5.7259 Å, c = 4.4841 Å
α = 90.00°, β = 90.00°, γ = 122.60°
Fractional positions:
Li (0.0656, 0.4402, 0.7500)
Li (0.0657, 0.9343, 0.7500)
Li (0.4402, 0.0656, 0.2500)
Li (0.5598, 0.9344, 0.7500)
Li (0.9343, 0.0657, 0.2500)
Li (0.9344, 0.5598, 0.2500)
Tc (0.4649, 0.5351, 0.2500)
Tc (0.5351, 0.4649, 0.7500)

[3]
## Pr3Bi2Se (PBE)

Data for Pr3Bi2Se after structural relaxation.

Computed properties:
total magnetic moment	0.00	μB per cell
E_form (uncorrected)	-1240	meV per atom
electronic total energy	-5.50	eV per atom
symmetry	C2/m (12)

a = 7.8361 Å, b = 7.8361 Å, c = 7.8262 Å
α = 99.63°, β = 99.63°, γ = 119.88°
Fractional positions:
Pr (0.0763, 0.4197, 0.7575)
Pr (0.2344, 0.2344, 0.2353)
Pr (0.4197, 0.0763, 0.7575)
Pr (0.5803, 0.9237, 0.2425)
Pr (0.7656, 0.7656, 0.7647)
Pr (0.9237, 0.5803, 0.2425)
Bi (0.0000, 0.0000, 0.5000)
Bi (0.3385, 0.6615, 0.5000)
Bi (0.5000, 0.5000, 0.0000)
Bi (0.6615, 0.3385, 0.5000)
Se (0.1675, 0.8325, 0.0000)
Se (0.8325, 0.1675, 0.0000)

[4]
## KPdSe (PBE)

Data for KPdSe after structural relaxation.

Computed properties:
total magnetic moment	0.00	μB per cell
E_form (uncorrected)	-689	meV per atom
electronic total energy	-3.95	eV per atom
symmetry	Pnma (62)

a = 7.8418 Å, b = 4.5055 Å, c = 10.1340 Å
α = 90.00°, β = 90.00°, γ = 90.00°
Fractional positions:
K (0.0459, 0.2500, 0.2052)
K (0.4541, 0.7500, 0.7052)
K (0.5459, 0.2500, 0.2948)
K (0.9541, 0.7500, 0.7948)
Pd (0.1030, 0.7500, 0.4906)
Pd (0.3970, 0.2500, 0.9906)
Pd (0.6030, 0.7500, 0.0094)
Pd (0.8970, 0.2500, 0.5094)
Se (0.2261, 0.2500, 0.5134)
Se (0.2739, 0.7500, 0.0134)
Se (0.7261, 0.2500, 0.9866)
Se (0.7739, 0.7500, 0.4866)